Entry 1:
Here is an optimized crystal structure of K2NaIrRh from Alexandria via LeMat-Bulk. Energies are from PBE-GGA.

Summary:
formation energy from the elements = 1.3703 eV per atom

Lattice parameters (Å, degrees): 6.028 6.028 5.497 90.00 90.00 90.00
Sites, in units of the cell vectors:
K (0.000, 0.500, 0.000)
K (0.500, 0.000, 0.000)
Na (0.000, 0.000, 0.500)
Ir (0.000, 0.000, 0.000)
Rh (0.500, 0.500, 0.500)



Entry 2:
Here is an optimized crystal structure of BeZn2Re from Alexandria via LeMat-Bulk. Energies are from PBE-GGA.

Summary:
formation energy from the elements = 0.1956 eV per atom

Lattice parameters (Å, degrees): 5.092 5.092 2.616 101.87 101.87 120.72
Sites, in units of the cell vectors:
Be (0.000, 0.000, 0.000)
Zn (0.000, 0.500, 0.500)
Zn (0.500, 0.000, 0.500)
Re (0.500, 0.500, 0.000)



Entry 3:
Here is an optimized crystal structure of ZnTe2P from Alexandria via LeMat-Bulk. Energies are from PBE-GGA.

Summary:
raw formation energy = 272 meV per atom

Lattice parameters (Å, degrees): 3.909 3.770 7.468 90.00 104.41 90.00
Sites, in units of the cell vectors:
Zn (0.000, 0.000, 0.000)
Te (0.187, 0.500, 0.765)
Te (0.813, 0.500, 0.235)
P (0.000, 0.000, 0.500)



Entry 4:
Here is an optimized crystal structure of ScBe9Pd2 from Alexandria via LeMat-Bulk. Energies are from PBE-GGA.

Summary:
formation energy from the elements = -0.3568 eV per atom

Lattice parameters (Å, degrees): 7.535 7.535 7.535 34.20 34.20 34.20
Sites, in units of the cell vectors:
Sc (0.000, 0.000, 0.000)
Be (0.084, 0.586, 0.586)
Be (0.332, 0.332, 0.332)
Be (0.414, 0.414, 0.916)
Be (0.414, 0.916, 0.414)
Be (0.500, 0.500, 0.500)
Be (0.586, 0.084, 0.586)
Be (0.586, 0.586, 0.084)
Be (0.668, 0.668, 0.668)
Be (0.916, 0.414, 0.414)
Pd (0.138, 0.138, 0.138)
Pd (0.862, 0.862, 0.862)